## YCuAg (PBE)

Data for YCuAg after structural relaxation.

Summary:
Energy above the lowest structure with this stoichiometry (eV per atom): 0.0142
Fermi-level density of states (states/eV/atom): 0.6271
Calculated formation energy (meV/atom): -266.3

Lattice parameters (Å, degrees): 6.3024 5.3998 7.6318 90.00 111.10 90.00
Last column: nearest neighbours and their distance in Å.
Element x y z (fractional)
Y (0.1921, 0.1192, 0.3745)  5 Cu 2.91-3.03, 4 Ag 3.08-3.23
Y (0.1921, 0.3808, 0.8745)  5 Cu 2.91-3.03, 4 Ag 3.08-3.23
Y (0.8079, 0.6192, 0.1255)  5 Cu 2.91-3.03, 4 Ag 3.08-3.23
Y (0.8079, 0.8808, 0.6255)  5 Cu 2.91-3.03, 4 Ag 3.08-3.23
Cu (0.1674, 0.6234, 0.5168)  1 Cu 2.43, 2 Ag 2.62-2.68
Cu (0.1674, 0.8766, 0.0168)  1 Cu 2.43, 2 Ag 2.62-2.68
Cu (0.8326, 0.1234, 0.9832)  1 Cu 2.43, 2 Ag 2.62-2.68
Cu (0.8326, 0.3766, 0.4832)  1 Cu 2.43, 2 Ag 2.62-2.68
Ag (0.4137, 0.5940, 0.2953)  3 Cu 2.62-2.77
Ag (0.4137, 0.9060, 0.7953)  3 Cu 2.62-2.77
Ag (0.5863, 0.0940, 0.2047)  3 Cu 2.62-2.77
Ag (0.5863, 0.4060, 0.7047)  3 Cu 2.62-2.77